Here is an optimized crystal structure of KMgCN2 from the Alexandria database. Energies are from PBE-GGA.

Properties
* space group: Pmma (51)
* raw formation energy: -0.300 eV/atom
* crystal system: orthorhombic

a = 6.5502 Å, b = 5.1983 Å, c = 5.3420 Å
α = 90.00°, β = 90.00°, γ = 90.00°
With the nearest neighbours (Å) after each atom.
Element x y z (fractional)
K 0.2500 0.0000 0.0021  4 C 3.07, 2 K 3.28, 8 N 3.31-3.32
K 0.7500 0.0000 0.9979  4 C 3.07, 2 K 3.28, 8 N 3.31-3.32
Mg 0.2500 0.5000 0.5004  4 N 2.17
Mg 0.7500 0.5000 0.4996  4 N 2.17
C 0.0000 0.5000 0.0000  2 N 1.24
C 0.5000 0.5000 0.0000  2 N 1.24
N 0.0002 0.5000 0.2323  1 C 1.24
N 0.9998 0.5000 0.7677  1 C 1.24
N 0.4998 0.5000 0.2323  1 C 1.24
N 0.5002 0.5000 0.7677  1 C 1.24